Record 1
Entry from the Alexandria database: Cr4Co2N after structural relaxation (PBE-GGA).

Cell: 7.449 7.449 7.449 Å, 60.00 60.00 60.00°
Atoms (fractional coordinates):
Cr 0.000 0.000 0.000
Cr 0.000 0.000 0.500
Cr 0.000 0.500 0.000
Cr 0.184 0.184 0.566
Cr 0.184 0.566 0.184
Cr 0.184 0.566 0.566
Cr 0.434 0.434 0.816
Cr 0.434 0.816 0.434
Cr 0.434 0.816 0.816
Cr 0.500 0.000 0.000
Cr 0.566 0.184 0.184
Cr 0.566 0.184 0.566
Cr 0.566 0.566 0.184
Cr 0.816 0.434 0.434
Cr 0.816 0.434 0.816
Cr 0.816 0.816 0.434
Co 0.127 0.791 0.791
Co 0.209 0.209 0.209
Co 0.209 0.209 0.873
Co 0.209 0.873 0.209
Co 0.791 0.127 0.791
Co 0.791 0.791 0.127
Co 0.791 0.791 0.791
Co 0.873 0.209 0.209
N 0.000 0.500 0.500
N 0.500 0.000 0.500
N 0.500 0.500 0.000
N 0.500 0.500 0.500

Calculated values
ΔE_f (raw) ... -0.1312 eV per atom

Record 2
Entry from the Alexandria database: Ba2CuAs after structural relaxation (PBE-GGA).

Cell: 9.528 9.528 9.528 Å, 137.25 137.25 62.05°
Atoms (fractional coordinates):
Ba 0.107 0.625 0.982
Ba 0.375 0.357 0.482
Ba 0.643 0.125 0.018
Ba 0.875 0.893 0.518
Cu 0.250 0.750 0.500
Cu 0.500 0.500 0.000
As 0.000 0.000 0.000
As 0.750 0.250 0.500

Calculated values
Formation energy from the elements ... -0.22 eV per atom

Record 3
Entry from the Alexandria database: TlZnHg2F after structural relaxation (PBE-GGA).

Cell: 6.032 6.032 4.950 Å, 90.00 90.00 90.00°
Atoms (fractional coordinates):
Tl 0.000 0.000 0.000
Zn 0.500 0.500 0.000
Hg 0.000 0.500 0.500
Hg 0.500 0.000 0.500
F 0.000 0.000 0.500

Calculated values
ΔE_f (raw) ... -0.3378 eV per atom